[1]
CaThSiAu (PBE, optimized geometry); symmetry = F-43m, No. 216; formation energy from raw total energies = -518 meV/atom; DFT total energy = -20.19 eV per cell
1.0
5.166 0.000 0.000
2.583 4.474 0.000
2.583 1.491 4.218
Ca Au Si Th
1 1 1 1
Direct
0.500 0.500 0.500
0.250 0.250 0.250
0.750 0.750 0.750
0.000 0.000 0.000

[2]
InSb2Au (PBE, optimized geometry); symmetry = Fm-3m, No. 225; formation energy from raw total energies = 202 meV/atom; DFT total energy = -13.45 eV per cell
1.0
0.000 3.668 3.668
3.668 0.000 3.668
3.668 3.668 0.000
Sb Au In
2 1 1
Direct
0.250 0.250 0.250
0.750 0.750 0.750
0.500 0.500 0.500
0.000 0.000 0.000

[3]
TlAg2Br2 (PBE, optimized geometry); symmetry = P4/mbm, No. 127; formation energy from raw total energies = -73 meV/atom; DFT total energy = -23.56 eV per cell
1.0
8.637 0.000 0.000
0.000 8.637 0.000
0.000 0.000 3.578
Tl Br Ag
2 4 4
Direct
0.000 0.000 0.000
0.500 0.500 0.000
0.336 0.836 0.000
0.836 0.664 0.000
0.664 0.164 0.000
0.164 0.336 0.000
0.125 0.625 0.500
0.625 0.875 0.500
0.875 0.375 0.500
0.375 0.125 0.500

[4]
Mn2CoNiHg (PBE, optimized geometry); energy relative to the elements = 1.04 eV per atom; symmetry = P4/mmm, No. 123; DFT total energy = -26.32 eV per cell
1.0
4.385 0.000 0.000
0.000 4.827 0.000
0.000 0.000 4.385
Ni Mn Co Hg
1 2 1 1
Direct
0.500 0.500 0.500
0.000 0.000 0.500
0.500 0.000 0.000
0.000 0.000 0.000
0.000 0.500 0.000

[5]
Be5Co4Pd (PBE, optimized geometry); energy relative to the elements = -0.36 eV per atom; symmetry = P4/mmm, No. 123; DFT total energy = -55.85 eV per cell
1.0
2.656 0.000 0.000
0.000 2.656 0.000
0.000 0.000 13.111
Be Co Pd
5 4 1
Direct
0.500 0.500 0.119
0.500 0.500 0.306
0.500 0.500 0.500
0.500 0.500 0.694
0.500 0.500 0.881
0.000 0.000 0.211
0.000 0.000 0.404
0.000 0.000 0.596
0.000 0.000 0.789
0.000 0.000 0.000

[6]
CeHo2Hg8 (PBE, optimized geometry); energy relative to the elements = -0.28 eV per atom; symmetry = C2/m, No. 12; DFT total energy = -20.54 eV per cell
1.0
-2.740 -2.474 3.564
-0.653 -5.790 -4.521
7.927 1.261 3.255
Ce Ho Hg
1 2 8
Direct
0.500 0.000 0.000
0.190 0.689 0.379
0.810 0.311 0.621
0.654 0.867 0.307
0.346 0.560 0.693
0.156 0.156 0.312
0.000 0.295 0.000
0.844 0.844 0.688
0.654 0.440 0.307
0.346 0.133 0.693
0.000 0.705 0.000

[7]
Mn2PtAu2 (PBE, optimized geometry); energy relative to the elements = 0.46 eV per atom; symmetry = I4/mmm, No. 139; DFT total energy = -28.61 eV per cell
1.0
3.776 0.000 0.000
0.000 3.776 0.000
1.888 1.888 5.823
Mn Au Pt
2 2 1
Direct
0.415 0.415 0.170
0.585 0.585 0.830
0.750 0.250 0.500
0.250 0.750 0.500
0.000 0.000 0.000

[8]
TcP2Pt (PBE, optimized geometry); energy relative to the elements = -0.13 eV per atom; symmetry = P4/mmm, No. 123; DFT total energy = -27.74 eV per cell
1.0
-2.375 -1.392 -1.347
1.062 -2.718 0.936
-3.105 0.496 4.963
P Pt Tc
2 1 1
Direct
0.000 0.000 0.986
0.000 0.000 0.514
0.500 0.500 0.250
0.500 0.500 0.750

[9]
SrLi4In2Hg (PBE, optimized geometry); energy relative to the elements = -0.27 eV per atom; symmetry = R-3m, No. 166; DFT total energy = -17.25 eV per cell
1.0
4.786 0.000 0.000
2.393 4.145 0.000
2.393 1.382 9.294
Sr Li In Hg
1 4 2 1
Direct
0.000 0.000 0.000
0.407 0.407 0.780
0.865 0.865 0.405
0.135 0.135 0.595
0.593 0.593 0.220
0.755 0.755 0.736
0.245 0.245 0.264
0.500 0.500 0.500

[10]
SbTeOs2 (PBE, optimized geometry); symmetry = Cmmm, No. 65; formation energy from raw total energies = 1121 meV/atom; DFT total energy = -25.24 eV per cell
1.0
3.100 0.009 0.000
-1.523 2.701 0.000
0.000 0.000 9.069
Os Sb Te
2 1 1
Direct
0.000 0.000 0.018
0.000 0.000 0.482
0.500 0.500 0.250
0.500 0.500 0.750

[11]
ScPa3Tl4O12 (PBE, optimized geometry); symmetry = Im-3m, No. 229; formation energy from raw total energies = -2464 meV/atom; DFT total energy = -153.06 eV per cell
1.0
7.535 0.000 0.000
-2.512 7.104 0.000
-2.512 -3.552 6.153
Sc Pa Tl O
1 3 4 12
Direct
0.000 0.000 0.000
0.500 0.000 0.500
0.500 0.500 0.000
0.000 0.500 0.500
0.500 0.500 0.500
0.000 0.000 0.500
0.500 0.000 0.000
0.000 0.500 0.000
0.250 0.500 0.750
0.750 0.000 0.750
0.250 0.000 0.250
0.750 0.500 0.250
0.750 0.750 0.000
0.250 0.250 0.000
0.750 0.250 0.500
0.250 0.750 0.500
0.500 0.250 0.750
0.000 0.750 0.750
0.500 0.750 0.250
0.000 0.250 0.250

[12]
TmLuInAg (PBE, optimized geometry); energy relative to the elements = -0.39 eV per atom; symmetry = F-43m, No. 216; DFT total energy = -16.14 eV per cell
1.0
5.162 0.000 0.000
2.581 4.470 0.000
2.581 1.490 4.215
Lu Tm Ag In
1 1 1 1
Direct
0.500 0.500 0.500
0.000 0.000 0.000
0.250 0.250 0.250
0.750 0.750 0.750